Compound: TbThS2
Source: Alexandria
Functional: PBE-GGA
Structure: relaxed Values from VASP.

Output
The uncorrected energy comes out at -6.9939 eV/atom. For the total magnetization, the calculation gives 0.0 μB per cell. The calculation puts the uncorrected formation energy at -7.7 eV per formula unit. Its space group is R-3m. The value obtained for the energy above the most stable polymorph in this dataset is 0.0000 eV/atom. As for the density of states at the Fermi level: 0.498 states/eV per atom.

Structure (Quantum ESPRESSO input):
```
&SYSTEM
  ibrav = 0, nat = 4, ntyp = 3
/
ATOMIC_SPECIES
Tb 158.93 Tb.upf
S 32.06 S.upf
Th 232.04 Th.upf
CELL_PARAMETERS angstrom
3.921 0.000 0.000
1.961 3.396 0.000
1.961 1.132 6.718
ATOMIC_POSITIONS angstrom
Tb 3.921 2.264 3.359
S 1.961 1.132 1.774
S 5.882 3.396 4.944
Th 0.000 0.000 0.000
```